ZnGe2S after structural relaxation, computed with PBE-GGA.

Structure (POSCAR):
```
ZnGe2S
1.0
-4.1486 -1.7607 1.3316
-3.2476 2.8164 1.8986
-3.8885 1.0646 -2.4146
S Ge Zn
1 2 1
direct
0.0000 0.0000 0.0000 S
0.2500 0.2500 0.2500 Ge
0.7500 0.7500 0.7500 Ge
0.5000 0.5000 0.5000 Zn
```

Summary:
As for the crystal system: cubic. The uncorrected formation energy comes out at 365 meV/atom. The density of states at the Fermi level comes out at 0.602 states/eV per atom. The calculated total energy comes out at -0.242 Ry/atom.